Record 1
Entry from Alexandria via LeMat-Bulk: a relaxed structure of LiBrN3 (GGA-PBEsol).

a b c (Å): 3.969 3.969 3.969
angles (deg): 90.00 90.00 90.00
Each line ends with the local moment (μB).
Fractional positions:
Li1 0.500 0.500 0.500  0.00
Br1 0.000 0.000 0.000  -0.04
N1 0.000 0.500 0.000  0.58
N2 0.000 0.000 0.500  0.58
N3 0.500 0.000 0.000  0.58

Properties
Volume, A^3/atom: 12.506
N(E_F), states/eV per atom: 0.653
Formation energy without anion corrections, kcal/mol of atoms: 50.09

Record 2
Entry from Alexandria via LeMat-Bulk: a relaxed structure of Nb6AlSn (GGA-PBEsol).

a b c (Å): 5.215 5.215 5.215
angles (deg): 90.00 90.00 90.00
Fractional positions:
Nb1 0.000 0.500 0.743
Nb2 0.500 0.257 0.000
Nb3 0.743 0.000 0.500
Nb4 0.000 0.500 0.257
Nb5 0.500 0.743 0.000
Nb6 0.257 0.000 0.500
Al1 0.500 0.500 0.500
Sn1 0.000 0.000 0.000

Properties
E_form, eV/atom: -0.19
Volume, A^3/atom: 17.724
N(E_F), states/eV per atom: 1.534

Record 3
Entry from Alexandria via LeMat-Bulk: a relaxed structure of RhWCl2 (GGA-PBEsol).

a b c (Å): 2.993 3.599 8.187
angles (deg): 79.80 79.47 65.43
Fractional positions:
Rh1 0.471 0.532 0.526
W1 0.679 0.932 0.710
Cl1 0.093 0.869 0.944
Cl2 0.257 0.166 0.320

Properties
Distance to the lowest polymorph of the same formula, eV per atom: 0.000
Volume, A^3/atom: 19.584
N(E_F), states/eV per atom: 0.302
Formation energy without anion corrections, kcal/mol of atoms: -3.31

Record 4
Entry from Alexandria via LeMat-Bulk: a relaxed structure of LaCoPt2 (GGA-PBEsol).

a b c (Å): 4.118 4.118 5.035
angles (deg): 114.14 114.14 90.00
Each line ends with the local moment (μB).
Fractional positions:
Co1 0.500 0.500 0.000  1.54
Pt1 0.000 0.000 0.000  0.11
Pt2 0.750 0.250 0.500  0.15
La1 0.250 0.750 0.500  -0.05

Properties
E_form, eV/atom: -0.30
Volume, A^3/atom: 17.410
N(E_F), states/eV per atom: 1.523

Record 5
Entry from Alexandria via LeMat-Bulk: a relaxed structure of Ca2MnReO6 (GGA-PBEsol).

a b c (Å): 5.312 5.479 7.579
angles (deg): 90.00 89.84 90.00
Each line ends with the local moment (μB).
Fractional positions:
Re1 0.000 0.500 0.500  0.00
Re2 0.500 0.000 0.000  0.00
Ca1 0.988 0.948 0.249  0.00
Ca2 0.488 0.552 0.749  0.00
Ca3 0.012 0.052 0.751  -2.97
Ca4 0.512 0.448 0.251  -2.97
Mn1 0.000 0.500 0.000  0.79
Mn2 0.500 0.000 0.500  0.79
O1 0.798 0.206 0.456  0.00
O2 0.298 0.294 0.956  0.00
O3 0.202 0.794 0.544  0.00
O4 0.702 0.706 0.044  0.00
O5 0.704 0.707 0.457  0.01
O6 0.204 0.793 0.957  0.01
O7 0.296 0.293 0.543  0.01
O8 0.796 0.207 0.043  0.01
O9 0.084 0.523 0.249  0.01
O10 0.584 0.977 0.749  0.01
O11 0.916 0.477 0.751  0.01
O12 0.416 0.023 0.251  0.01

Properties
Volume, A^3/atom: 11.030
N(E_F), states/eV per atom: 0.495
Formation energy without anion corrections, kcal/mol of atoms: -51.44

Record 6
Entry from Alexandria via LeMat-Bulk: a relaxed structure of Rb5C (GGA-PBEsol).

a b c (Å): 8.700 8.700 8.700
angles (deg): 60.00 60.00 60.00
Each line ends with the local moment (μB).
Fractional positions:
C1 0.000 0.000 0.000  1.07
Rb1 0.250 0.250 0.250  -0.01
Rb2 0.626 0.122 0.626  0.00
Rb3 0.626 0.626 0.122  0.00
Rb4 0.626 0.626 0.626  0.00
Rb5 0.122 0.626 0.626  0.00

Properties
E_form, eV/atom: 1.19
Volume, A^3/atom: 77.599
N(E_F), states/eV per atom: 0.745